Entry 1:
## CaAc4Sn15 (PBE)

Data for crystalline CaAc4Sn15 at its relaxed geometry.

The structure belongs to space group P4/mmm (No. 123); the cell edges are 4.870, 4.870 and 24.635 Å and the angles 90.00°, 90.00° and 90.00°. The asymmetric unit holds Ca at (0.000, 0.000, 0.000), Ac at (0.000, 0.000, 0.197), Ac at (0.000, 0.000, 0.399), Sn at (0.000, 0.500, 0.094), Sn at (0.000, 0.500, 0.297), Sn at (0.000, 0.500, 0.500), Sn at (0.500, 0.500, 0.000), Sn at (0.500, 0.500, 0.196) and Sn at (0.500, 0.500, 0.399).

Its crystal system is tetragonal. The calculated volume is 584.3 Å³/f.u. The value obtained for the density of states at the Fermi level is 0.4931 states/eV/atom. As for the formation energy: -0.4765 eV per atom.

Entry 2:
## CaAc7Sn3 (PBE)

Data for crystalline CaAc7Sn3 at its relaxed geometry.

The structure belongs to space group C2/m (No. 12); the cell edges are 7.613, 12.463 and 9.636 Å and the angles 90.00°, 99.40° and 90.00°. The asymmetric unit holds Ca at (0.000, 0.000, 0.000), Ac at (0.000, 0.000, 0.500), Ac at (0.130, 0.500, 0.693), Ac at (0.214, 0.298, 0.202), Sn at (0.000, 0.277, 0.500) and Sn at (0.000, 0.500, 0.000).

Its crystal system is monoclinic. The calculated volume is 451.0 Å³/f.u. The value obtained for the density of states at the Fermi level is 1.0625 states/eV/atom. As for the formation energy: -0.2513 eV per atom.

Entry 3:
## CaAcSn2 (PBE)

Data for crystalline CaAcSn2 at its relaxed geometry.

The structure belongs to space group P4/mmm (No. 123); the cell edges are 5.251, 5.251 and 4.596 Å and the angles 90.00°, 90.00° and 90.00°. The asymmetric unit holds Ca at (0.000, 0.000, 0.000), Ac at (0.500, 0.500, 0.000) and Sn at (0.000, 0.500, 0.500).

Its crystal system is tetragonal. The calculated volume is 126.7 Å³/f.u. The value obtained for the density of states at the Fermi level is 0.6485 states/eV/atom. As for the formation energy: -0.6063 eV per atom.

Entry 4:
## CaAc12Sn7 (PBE)

Data for crystalline CaAc12Sn7 at its relaxed geometry.

The structure belongs to space group R-3m (No. 166, hexagonal axes); the cell edges are 16.9861, 16.9861 and 9.5430 Å and the angles 90.00°, 90.00° and 120.00°. The asymmetric unit holds Ca at (0.0000, 0.0000, 0.0000), Ac at (0.0000, 0.2688, 0.0000), Ac at (0.1048, 0.2096, 0.3742), Sn at (0.0000, 0.0000, 0.5000) and Sn at (0.1096, 0.2193, 0.7523).

Its crystal system is trigonal. The calculated volume is 794.8 Å³/f.u. The value obtained for the density of states at the Fermi level is 1.1349 states/eV/atom. As for the formation energy: -0.3964 eV per atom.

Entry 5:
## CaAc3Sn12 (PBE)

Data for crystalline CaAc3Sn12 at its relaxed geometry.

The structure belongs to space group P4/mmm (No. 123); the cell edges are 4.869, 4.869 and 19.613 Å and the angles 90.00°, 90.00° and 90.00°. The asymmetric unit holds Ca at (0.000, 0.000, 0.000), Ac at (0.000, 0.000, 0.247), Ac at (0.000, 0.000, 0.500), Sn at (0.000, 0.500, 0.118), Sn at (0.000, 0.500, 0.373), Sn at (0.500, 0.500, 0.000), Sn at (0.500, 0.500, 0.246) and Sn at (0.500, 0.500, 0.500).

Its crystal system is tetragonal. The calculated volume is 464.9 Å³/f.u. The value obtained for the density of states at the Fermi level is 0.4204 states/eV/atom. As for the formation energy: -0.4760 eV per atom.

Entry 6:
## CaAc4Sn3 (PBE)

Data for crystalline CaAc4Sn3 at its relaxed geometry.

The structure belongs to space group C2/m (No. 12); the cell edges are 23.501, 4.568 and 5.550 Å and the angles 90.00°, 103.64° and 90.00°. The asymmetric unit holds Ca at (0.000, 0.000, 0.000), Ac at (0.110, 0.000, 0.610), Ac at (0.231, 0.000, 0.231), Sn at (0.000, 0.500, 0.500) and Sn at (0.120, 0.500, 0.119).

Its crystal system is monoclinic. The calculated volume is 289.5 Å³/f.u. The value obtained for the density of states at the Fermi level is 0.9016 states/eV/atom. As for the formation energy: -0.4432 eV per atom.

Entry 7:
## Ca2Ac12Sn5 (PBE)

Data for crystalline Ca2Ac12Sn5 at its relaxed geometry.

The structure belongs to space group C2/m (No. 12); the cell edges are 17.689, 8.883 and 10.186 Å and the angles 90.00°, 92.26° and 90.00°. The asymmetric unit holds Ca at (0.000, 0.169, 0.000), Ac at (0.030, 0.000, 0.325), Ac at (0.031, 0.500, 0.825), Ac at (0.139, 0.246, 0.588), Ac at (0.182, 0.264, 0.144), Sn at (0.000, 0.500, 0.500), Sn at (0.152, 0.000, 0.874) and Sn at (0.220, 0.000, 0.379).

Its crystal system is monoclinic. The calculated volume is 799.7 Å³/f.u. The value obtained for the density of states at the Fermi level is 1.2960 states/eV/atom. As for the formation energy: -0.1656 eV per atom.

Entry 8:
## CaAc5Sn5 (PBE)

Data for crystalline CaAc5Sn5 at its relaxed geometry.

The structure belongs to space group C2/m (No. 12); the cell edges are 17.280, 6.528 and 7.670 Å and the angles 90.00°, 106.18° and 90.00°. The asymmetric unit holds Ca at (0.000, 0.000, 0.000), Ac at (0.000, 0.000, 0.500), Ac at (0.145, 0.500, 0.765), Ac at (0.185, 0.500, 0.280), Sn at (0.000, 0.500, 0.000), Sn at (0.164, 0.000, 0.341) and Sn at (0.166, 0.000, 0.929).

Its crystal system is monoclinic. The calculated volume is 415.5 Å³/f.u. The value obtained for the density of states at the Fermi level is 0.7254 states/eV/atom. As for the formation energy: -0.4388 eV per atom.